# 1
Here is a relaxed PrScZn crystal from OQMD. Energies are from GGA-PBE.

a b c (Å): 4.892 4.892 4.892
angles (deg): 60.00 60.00 60.00
Fractional coordinates of all 3 atoms:
1 Pr 0.250 0.250 0.250
2 Sc 0.750 0.750 0.750
3 Zn 0.000 0.000 0.000

ΔH_f (0 K) = 0.052 eV per atom
E_tot = -4.070 eV per atom
Symmetry = F-43m
Offset from the most stable computed form = 0.0 meV per atom

---

# 2
Here is a relaxed PrSe crystal from OQMD. Energies are from GGA-PBE.

a b c (Å): 4.259 4.259 4.259
angles (deg): 119.99 119.99 90.01
Fractional coordinates of all 2 atoms:
1 Pr 0.000 0.000 0.000
2 Se 0.500 0.500 0.000

E_tot = -5.977 eV per atom
Symmetry = Fm-3m

---

# 3
Here is a relaxed Pr2Se3 crystal from OQMD. Energies are from GGA-PBE.

a b c (Å): 11.603 4.216 11.235
angles (deg): 90.00 90.00 90.00
Fractional coordinates of all 20 atoms:
1 Pr 0.693 0.750 0.003
2 Pr 0.989 0.250 0.187
3 Pr 0.489 0.250 0.313
4 Pr 0.193 0.750 0.497
5 Pr 0.807 0.250 0.503
6 Pr 0.511 0.750 0.687
7 Pr 0.011 0.750 0.813
8 Pr 0.307 0.250 0.997
9 Se 0.121 0.750 0.056
10 Se 0.455 0.750 0.125
11 Se 0.729 0.250 0.200
12 Se 0.229 0.250 0.300
13 Se 0.955 0.750 0.375
14 Se 0.621 0.750 0.444
15 Se 0.379 0.250 0.556
16 Se 0.045 0.250 0.625
17 Se 0.771 0.750 0.700
18 Se 0.271 0.750 0.800
19 Se 0.545 0.250 0.875
20 Se 0.879 0.250 0.944

E_tot = -5.906 eV per atom
Symmetry = Pnma